No. 1
A plane-wave DFT calculation with PBE was carried out for a relaxed SrLa2Se crystal.

Structure (extended XYZ):
```
4
Lattice="4.633 0.000 0.000 0.000 4.633 0.000 0.000 0.000 6.035" Properties=species:S:1:pos:R:3 pbc="T T T"
Sr 0.000 0.000 0.000
La 0.000 2.316 3.018
La 2.316 0.000 3.018
Se 2.316 2.316 0.000
```

Computed properties:
Formation energy from raw total energies: -444.0 meV/atom
Mass density: 5.7 g/cm³

***

No. 2
A plane-wave DFT calculation with PBE was carried out for a relaxed SrLa2Se crystal.

Structure (extended XYZ):
```
16
Lattice="9.445 0.000 0.000 0.000 9.445 0.000 0.000 0.000 6.477" Properties=species:S:1:pos:R:3 pbc="T T T"
Sr 0.000 0.000 0.000
Sr 0.000 4.723 1.619
Sr 4.723 0.000 4.857
Sr 4.723 4.723 3.238
La 1.680 2.361 4.048
La 2.361 6.403 5.667
La 2.361 7.765 2.429
La 3.043 2.361 0.810
La 6.403 7.084 0.810
La 7.084 1.680 2.429
La 7.084 3.043 5.667
La 7.765 7.084 4.048
Se 0.000 0.000 3.238
Se 0.000 4.723 4.857
Se 4.723 0.000 1.619
Se 4.723 4.723 0.000
```

Computed properties:
Formation energy from raw total energies: -610.5 meV/atom
Mass density: 5.1 g/cm³

***

No. 3
A plane-wave DFT calculation with PBE was carried out for a relaxed SrLa8Se12 crystal.

Structure (extended XYZ):
```
42
Lattice="6.444 -6.447 0.000 6.444 6.447 0.000 -6.440 0.000 13.682" Properties=species:S:1:pos:R:3 pbc="T T T"
Sr 3.224 4.023 6.841
Sr 6.444 -4.023 0.000
La 4.830 5.642 2.282
La 0.803 4.860 12.548
La 0.026 2.444 9.130
La 4.010 1.644 1.119
La 1.642 0.829 4.560
La -1.578 -0.829 11.401
La 6.448 2.419 4.558
La 0.791 -1.644 7.960
La 3.246 -2.444 2.289
La 4.029 1.603 10.262
La 8.070 0.798 0.006
La 4.851 -0.798 6.847
La 7.249 -1.603 3.421
La 3.228 -2.419 11.399
La 1.610 -5.642 9.123
La 4.023 -4.860 5.707
Se -3.977 0.947 12.066
Se 3.400 3.229 3.823
Se -1.738 0.042 8.467
Se 1.482 -0.042 1.626
Se -0.789 2.273 12.085
Se -0.757 -0.947 5.225
Se 2.432 4.199 9.848
Se 6.598 3.213 1.590
Se 2.405 0.912 7.546
Se 3.352 3.243 13.007
Se 1.450 0.006 10.733
Se 4.670 -0.006 3.893
Se 5.625 -0.912 0.705
Se 5.657 2.217 7.522
Se 2.431 -2.273 5.244
Se 0.180 -3.229 10.664
Se 8.865 0.980 2.972
Se 3.378 -3.213 8.431
Se 7.872 0.014 6.140
Se 4.652 -0.014 12.981
Se 5.645 -0.980 9.813
Se 5.652 -4.199 3.007
Se 8.877 -2.217 0.681
Se 6.572 -3.243 6.166
```

Computed properties:
Formation energy from raw total energies: -2033.9 meV/atom
Mass density: 6.3 g/cm³

***

No. 4
A plane-wave DFT calculation with PBE was carried out for a relaxed SrLa2Se crystal.

Structure (extended XYZ):
```
8
Lattice="6.713 0.000 0.000 0.000 12.255 0.000 -2.171 0.000 3.164" Properties=species:S:1:pos:R:3 pbc="T T T"
Sr 0.000 0.000 0.000
Sr 3.356 6.128 0.000
La 0.592 3.064 1.582
La 0.592 9.191 1.582
La 3.949 3.064 1.582
La 3.949 9.191 1.582
Se 0.000 6.128 0.000
Se 3.356 0.000 0.000
```

Computed properties:
Formation energy from raw total energies: -440.7 meV/atom
Mass density: 5.7 g/cm³

***

The lowest formation energy from raw total energies belongs to which entry? SrLa8Se12

***

Copy entry 2 word for word.
A plane-wave DFT calculation with PBE was carried out for a relaxed SrLa2Se crystal.

Structure (extended XYZ):
```
16
Lattice="9.445 0.000 0.000 0.000 9.445 0.000 0.000 0.000 6.477" Properties=species:S:1:pos:R:3 pbc="T T T"
Sr 0.000 0.000 0.000
Sr 0.000 4.723 1.619
Sr 4.723 0.000 4.857
Sr 4.723 4.723 3.238
La 1.680 2.361 4.048
La 2.361 6.403 5.667
La 2.361 7.765 2.429
La 3.043 2.361 0.810
La 6.403 7.084 0.810
La 7.084 1.680 2.429
La 7.084 3.043 5.667
La 7.765 7.084 4.048
Se 0.000 0.000 3.238
Se 0.000 4.723 4.857
Se 4.723 0.000 1.619
Se 4.723 4.723 0.000
```

Computed properties:
Formation energy from raw total energies: -610.5 meV/atom
Mass density: 5.1 g/cm³

***

Which value of mass density does entry 3 give? 6.3 g/cm³